This record from the Alexandria database describes MgReTcMo after structural relaxation. The functional is PBE-GGA.

```
MgReTcMo
1.0
0.0000 3.1327 3.1327
3.1327 0.0000 3.1327
3.1327 3.1327 0.0000
Mg Re Tc Mo
1 1 1 1
Direct
0.0000 0.0000 0.0000 Mg
0.5000 0.5000 0.5000 Re
0.2500 0.2500 0.2500 Tc
0.7500 0.7500 0.7500 Mo
```

- VASP energy: -8.589 eV per atom